Crystalline RbZnGa at its relaxed geometry, computed with PBE.

Values from the calculation:
**Offset from the most stable computed form**: 0.00 kJ/mol of atoms
**Energy of formation from the pure elements**: 0.007 eV per atom

Cell: 7.207 7.024 8.666 Å, 90.00 115.43 90.00°
Element x y z (fractional)
Rb (0.159, 0.092, 0.355)
Rb (0.159, 0.408, 0.855)
Rb (0.841, 0.592, 0.145)
Rb (0.841, 0.908, 0.645)
Zn (0.438, 0.679, 0.281)
Zn (0.438, 0.821, 0.781)
Zn (0.562, 0.179, 0.219)
Zn (0.562, 0.321, 0.719)
Ga (0.360, 0.601, 0.536)
Ga (0.360, 0.899, 0.036)
Ga (0.640, 0.101, 0.964)
Ga (0.640, 0.399, 0.464)